No. 1
Material: Dy8Y3Sc3
Method: DFT, GGA-PBE
State: optimized geometry

Lattice parameters (Å, degrees): 10.208 10.208 10.208 149.65 124.35 64.71
Atoms (fractional coordinates):
Dy 0.045 0.202 0.844
Dy 0.138 0.376 0.762
Dy 0.358 0.202 0.156
Dy 0.385 0.624 0.762
Dy 0.615 0.376 0.238
Dy 0.642 0.798 0.844
Dy 0.862 0.624 0.238
Dy 0.955 0.798 0.156
Y 0.244 0.000 0.244
Y 0.500 0.500 0.000
Y 0.756 0.000 0.756
Sc 0.000 0.500 0.500
Sc 0.333 0.833 0.500
Sc 0.667 0.167 0.500

Results
* raw total energy: -4.99 eV/atom
* magnetization: 0.00 μB/f.u.

***

No. 2
Material: Th2PaTc
Method: DFT, GGA-PBE
State: optimized geometry

Lattice parameters (Å, degrees): 3.551 3.551 7.987 90.00 90.00 90.00
Atoms (fractional coordinates):
Th 0.000 0.000 0.222
Th 0.000 0.000 0.778
Pa 0.500 0.500 0.500
Tc 0.500 0.500 0.000

Results
* magnetization: 0.00 μB/f.u.
* energy relative to the lowest polymorph listed for this composition: 53 kJ/mol of formula units

***

No. 3
Material: VN2Cl4
Method: DFT, GGA-PBE
State: optimized geometry

Lattice parameters (Å, degrees): 3.704 3.708 15.472 88.59 89.35 60.04
Atoms (fractional coordinates):
V 0.000 0.000 0.000
N 0.033 0.917 0.289
N 0.967 0.083 0.711
Cl 0.070 0.894 0.615
Cl 0.334 0.325 0.084
Cl 0.666 0.675 0.916
Cl 0.930 0.106 0.385

Results
* formation energy (no corrections): 406 meV per atom
* magnetization: 6.86 μB/f.u.